VASP calculation (PBE with a Hubbard U) on a relaxed Ba2LaMn2O7 crystal.

Lattice parameters (Å, degrees): 10.8705 10.8705 10.8705 158.78 158.78 30.18
Fractional coordinates of all 12 atoms:
Ba 0.1814 0.1814 0.0000
Ba 0.8186 0.8186 0.0000
La 0.0000 0.0000 0.0000
Mn 0.4069 0.4069 0.0000
Mn 0.5931 0.5931 0.0000
O 0.0861 0.5861 0.5000
O 0.3138 0.3138 0.0000
O 0.4139 0.9139 0.5000
O 0.5000 0.5000 0.0000
O 0.5861 0.0861 0.5000
O 0.6862 0.6862 0.0000
O 0.9139 0.4139 0.5000

Output
Its space group is I4/mmm (139). For the final energy, the calculation gives -7.24 eV per atom.